1.
Here is an optimized crystal structure of LiCaZn3 from Alexandria via LeMat-Bulk. Energies are from PBE-GGA.

Volume = 36.706 Å³ per atom
N(E_F) = 3.41 states/eV/f.u.
E_tot = -0.920 eV per atom
Size of the total moment = 0.00 μB/cell

a = 5.6829 Å, b = 5.6829 Å, c = 5.6829 Å
α = 90.00°, β = 90.00°, γ = 90.00°
Element x y z (fractional)
Ca 0.0000 0.0000 0.0000
Li 0.5000 0.5000 0.5000
Zn 0.0000 0.0000 0.5000
Zn 0.5000 0.0000 0.0000
Zn 0.0000 0.5000 0.0000


2.
Here is an optimized crystal structure of Li2Ca2Zn from Alexandria via LeMat-Bulk. Energies are from PBE-GGA.

Volume = 30.840 Å³ per atom
N(E_F) = 5.05 states/eV/f.u.
E_tot = -1.662 eV per atom
Size of the total moment = 0.00 μB/cell

a = 8.2181 Å, b = 8.2181 Å, c = 4.5664 Å
α = 90.00°, β = 90.00°, γ = 90.00°
Element x y z (fractional)
Ca 0.8385 0.6615 0.0000
Li 0.3617 0.1383 0.5000
Ca 0.1615 0.3385 0.0000
Li 0.8617 0.3617 0.5000
Li 0.6383 0.8617 0.5000
Li 0.1383 0.6383 0.5000
Zn 0.5000 0.5000 0.0000
Zn 0.0000 0.0000 0.0000
Ca 0.3385 0.8385 0.0000
Ca 0.6615 0.1615 0.0000


3.
Here is an optimized crystal structure of LiCaZn from Alexandria via LeMat-Bulk. Energies are from PBE-GGA.

Volume = 27.736 Å³ per atom
N(E_F) = 2.12 states/eV/f.u.
E_tot = -1.704 eV per atom
Size of the total moment = 0.00 μB/cell

a = 4.9004 Å, b = 4.9004 Å, c = 4.9004 Å
α = 60.00°, β = 60.00°, γ = 60.00°
Element x y z (fractional)
Zn 0.7500 0.7500 0.7500
Li 0.5000 0.5000 0.5000
Ca 0.0000 0.0000 0.0000


4.
Here is an optimized crystal structure of LiCaZr from Alexandria via LeMat-Bulk. Energies are from PBE-GGA.

Volume = 26.456 Å³ per atom
N(E_F) = 4.16 states/eV/f.u.
E_tot = -3.789 eV per atom
Size of the total moment = 0.90 μB/cell

a = 8.5545 Å, b = 8.3570 Å, c = 3.2093 Å
α = 82.54°, β = 75.62°, γ = 21.84°
Element x y z (fractional)
Zr 0.3266 0.3266 0.6734
Ca 0.9988 0.9988 0.0012
Li 0.6745 0.6745 0.3255